Entry from Alexandria via LeMat-Bulk: a geometry-optimized Li2CaCoF8 structure (GGA+U).

* magnetic moment: 0.99 μB per cell
* total DFT energy (no corrections): -4.757 eV/atom

a b c (Å): 4.734 4.734 6.598
angles (deg): 93.25 93.25 86.21
Atoms (fractional coordinates):
Li1 0.029 0.029 0.224
Li2 0.971 0.971 0.776
Ca1 0.500 0.500 0.000
Co1 0.500 0.500 0.500
F1 0.183 0.183 0.991
F2 0.242 0.242 0.480
F3 0.304 0.694 0.298
F4 0.306 0.696 0.702
F5 0.694 0.304 0.298
F6 0.696 0.306 0.702
F7 0.758 0.758 0.520
F8 0.817 0.817 0.009